No. 1
# U2ZnGa9

An optimized crystal structure of U2ZnGa9 (PBE-GGA, the Alexandria database).

abc: 4.254 4.254 12.430
angles: 90.00 90.00 90.00
Space group P4/mmm (No. 123)
One atom of each set of equivalent atoms:
U 0.000 0.000 0.175
Zn 0.000 0.000 0.500
Ga 0.000 0.500 0.000
Ga 0.000 0.500 0.349
Ga 0.500 0.500 0.163
Ga 0.500 0.500 0.500

Output
Fermi-level density of states: 13.14 states/eV/cell
V: 224.9 Å³ per cell
final energy: -52.39 eV/cell
calculated formation energy: -0.1080 eV/atom



No. 2
# La2CrCo

An optimized crystal structure of La2CrCo (PBE-GGA, the Alexandria database).

abc: 3.602 3.602 7.330
angles: 90.00 90.00 90.00
Space group P4/mmm (No. 123)
One atom of each set of equivalent atoms:
La 0.000 0.000 0.234
Cr 0.500 0.500 0.500
Co 0.500 0.500 0.000

Output
Fermi-level density of states: 4.33 states/eV/cell
V: 95.1 Å³ per cell
polymorph energy (0 for the lowest one): 71 meV per atom
final energy: -25.49 eV/cell
calculated formation energy: 0.2739 eV/atom



No. 3
# Ce8TcIr3Cl4

An optimized crystal structure of Ce8TcIr3Cl4 (PBE-GGA, the Alexandria database).

abc: 8.0991 8.0991 22.1236
angles: 90.00 90.00 120.00
Space group R-3m (No. 166, hexagonal axes)
One atom of each set of equivalent atoms:
Ce 0.0000 0.0000 0.2354
Ce 0.0057 0.5028 0.2362
Tc 0.0000 0.0000 0.5000
Ir 0.0000 0.5000 0.5000
Cl 0.0000 0.0000 0.0000
Cl 0.0000 0.5000 0.0000

Output
Fermi-level density of states: 126.98 states/eV/cell
V: 1256.8 Å³ per cell
formation energy without anion corrections: -1.0455 eV per atom
final energy: -325.60 eV/cell



No. 4
# Y5SeS5

An optimized crystal structure of Y5SeS5 (PBE-GGA, the Alexandria database).

abc: 12.447 5.574 7.893
angles: 90.00 108.20 90.00
Space group C2/m (No. 12)
One atom of each set of equivalent atoms:
Y 0.000 0.000 0.000
Y 0.163 0.500 0.821
Y 0.168 0.500 0.344
Se 0.000 0.500 0.000
S 0.000 0.500 0.500
S 0.166 0.000 0.332
S 0.172 0.000 0.841

Output
Fermi-level density of states: 5.71 states/eV/cell
V: 520.2 Å³ per cell
formation energy without anion corrections: -2.0151 eV per atom
final energy: -157.22 eV/cell



No. 5
# La2Pm7Pr

An optimized crystal structure of La2Pm7Pr (PBE-GGA, the Alexandria database).

abc: 6.811 29.661 3.517
angles: 90.00 90.00 90.00
Space group Cmmm (No. 65)
One atom of each set of equivalent atoms:
La 0.000 0.204 0.000
Pm 0.000 0.000 0.000
Pm 0.000 0.312 0.500
Pm 0.246 0.401 0.000
Pr 0.000 0.500 0.500

Output
Fermi-level density of states: 34.56 states/eV/cell
V: 710.5 Å³ per cell
polymorph energy (0 for the lowest one): 0 meV per atom
final energy: -92.86 eV/cell
calculated formation energy: 0.1458 eV/atom



No. 6
# Nd3InAs

An optimized crystal structure of Nd3InAs (PBE-GGA, the Alexandria database).

abc: 7.108 4.742 9.218
angles: 90.00 90.08 90.00
Space group P2_1/m (No. 11)
One atom of each set of equivalent atoms:
Nd 0.005 0.250 0.330
Nd 0.251 0.250 0.929
Nd 0.494 0.250 0.330
In 0.249 0.750 0.150
As 0.250 0.250 0.602

Output
Fermi-level density of states: 8.84 states/eV/cell
V: 310.7 Å³ per cell
final energy: -50.68 eV/cell
calculated formation energy: -0.7296 eV/atom



No. 7
# Rb2HfCoBr

An optimized crystal structure of Rb2HfCoBr (PBE-GGA, the Alexandria database).

abc: 7.053 7.053 4.415
angles: 90.00 90.00 90.00
Space group P4/mmm (No. 123)
One atom of each set of equivalent atoms:
Rb 0.000 0.500 0.000
Hf 0.000 0.000 0.000
Co 0.000 0.000 0.500
Br 0.500 0.500 0.500

Output
Fermi-level density of states: 5.07 states/eV/cell
V: 219.6 Å³ per cell
formation energy without anion corrections: 0.5221 eV per atom
final energy: -18.06 eV/cell



No. 8
# KTa2Cu

An optimized crystal structure of KTa2Cu (PBE-GGA, the Alexandria database).

abc: 6.635 6.635 6.635
angles: 90.00 90.00 90.00
Space group Fm-3m (No. 225)
One atom of each set of equivalent atoms:
K 0.000 0.000 0.000
Ta 0.250 0.250 0.250
Cu 0.000 0.000 0.500

Output
Fermi-level density of states: 22.79 states/eV/cell
V: 292.1 Å³ per cell
polymorph energy (0 for the lowest one): 1082 meV per atom
final energy: -88.99 eV/cell
calculated formation energy: 1.6629 eV/atom



No. 9
# Mn2IrPb

An optimized crystal structure of Mn2IrPb (PBE-GGA, the Alexandria database).

abc: 4.106 4.106 7.895
angles: 90.00 90.00 90.00
Space group I4/mmm (No. 139)
One atom of each set of equivalent atoms:
Mn 0.000 0.500 0.250
Ir 0.000 0.000 0.000
Pb 0.000 0.000 0.500

Output
Fermi-level density of states: 5.99 states/eV/cell
V: 133.1 Å³ per cell
final energy: -59.22 eV/cell
calculated formation energy: 0.3246 eV/atom



No. 10
# K2NaTmCl6

An optimized crystal structure of K2NaTmCl6 (PBE-GGA, the Alexandria database).

abc: 10.641 10.641 10.641
angles: 90.00 90.00 90.00
Space group Fm-3m (No. 225)
One atom of each set of equivalent atoms:
K 0.250 0.250 0.250
Na 0.000 0.000 0.000
Tm 0.000 0.000 0.500
Cl 0.000 0.000 0.257

Output
Fermi-level density of states: 0.00 states/eV/cell
V: 1205.0 Å³ per cell
formation energy without anion corrections: -2.0690 eV per atom
final energy: -159.02 eV/cell



No. 11
# TmCdGe2Pt5

An optimized crystal structure of TmCdGe2Pt5 (PBE-GGA, the Alexandria database).

abc: 4.193 4.193 8.971
angles: 90.00 90.00 90.00
Space group P4/mmm (No. 123)
One atom of each set of equivalent atoms:
Tm 0.000 0.000 0.000
Cd 0.000 0.000 0.500
Ge 0.500 0.500 0.134
Pt 0.000 0.500 0.275
Pt 0.500 0.500 0.500

Output
Fermi-level density of states: 5.35 states/eV/cell
V: 157.7 Å³ per cell
final energy: -50.23 eV/cell
calculated formation energy: -0.6004 eV/atom



No. 12
# KHf2Se

An optimized crystal structure of KHf2Se (PBE-GGA, the Alexandria database).

abc: 5.224 5.224 19.439
angles: 90.00 90.00 90.00
Space group I-42d (No. 122)
One atom of each set of equivalent atoms:
K 0.000 0.000 0.000
Hf 0.028 0.750 0.625
Se 0.000 0.000 0.500

Output
Fermi-level density of states: 11.08 states/eV/cell
V: 530.4 Å³ per cell
formation energy without anion corrections: 0.4770 eV per atom
final energy: -90.32 eV/cell